Computed, not measured: an optimized crystal structure of LaGe2Rh5 at the GGA-PBE level of DFT.

```
8
Lattice="3.937 0.000 0.000 1.969 6.075 0.523 1.969 1.630 5.875" Properties=species:S:1:pos:R:3 pbc="T T T"
La 0.000 0.000 0.000
Ge 5.906 5.698 4.732
Ge 1.969 2.007 1.667
Rh 1.969 3.852 3.199
Rh 3.937 3.626 1.229
Rh 3.937 4.079 5.169
Rh 3.937 5.831 3.060
Rh 3.937 1.874 3.338
```

**Space group**: Immm
**Magnetization**: 0.0 μB/f.u.
**ΔH_f (0 K)**: -58.2 kJ/mol of atoms

Computed, not measured: an optimized crystal structure of LaGe2Rh at the GGA-PBE level of DFT.

```
8
Lattice="-1.406 -4.092 0.507 3.764 -1.464 -1.382 1.219 0.715 9.151" Properties=species:S:1:pos:R:3 pbc="T T T"
La 4.095 -0.744 5.347
La 0.888 -0.005 2.421
Ge 1.882 -0.732 -0.691
Ge -0.703 -2.046 0.254
Ge 2.490 -2.785 3.140
Ge 1.087 -2.056 5.136
Rh 1.651 -2.781 0.851
Rh 1.925 -2.060 7.424
```

**Space group**: Cmmm
**Magnetization**: 0.0 μB/f.u.
**ΔH_f (0 K)**: -79.0 kJ/mol of atoms

Computed, not measured: an optimized crystal structure of La4GeRh at the GGA-PBE level of DFT.

```
12
Lattice="5.657 0.000 -3.043 0.000 7.022 0.000 -1.631 0.000 10.062" Properties=species:S:1:pos:R:3 pbc="T T T"
La 2.191 1.755 2.512
La 1.834 5.266 4.507
La 2.833 1.755 6.728
La 1.192 5.266 0.290
La 4.454 0.023 0.082
La -0.429 3.534 6.936
La 4.454 3.488 0.082
La -0.429 6.999 6.936
Ge 1.932 1.755 -0.621
Ge 2.093 5.266 7.640
Rh 0.593 1.755 4.912
Rh 3.432 5.266 2.107
```

**Space group**: P2_1/m
**Magnetization**: 0.0 μB/f.u.
**ΔH_f (0 K)**: -54.8 kJ/mol of atoms